This record from Alexandria via LeMat-Bulk describes an optimized crystal structure of Pm3Nd4ThSe8. The functional is PBE-GGA.

Geometry as CIF:
```
data_Pm3Nd4ThSe8
_space_group_name_H-M_alt 'R -3 m'
_space_group_IT_number 166
_space_group_name_Hall '-R 3 2"'
_cell_length_a 8.4330
_cell_length_b 8.4330
_cell_length_c 20.6401
_cell_angle_alpha 90.00
_cell_angle_beta 90.00
_cell_angle_gamma 120.00
loop_
_atom_site_label
_atom_site_fract_x
_atom_site_fract_y
_atom_site_fract_z
Pm1 0.0000 0.5000 0.0000
Nd1 0.0000 0.0000 0.5000
Nd2 0.0000 0.5000 0.5000
Th1 0.0000 0.0000 0.0000
Se1 0.0000 0.0000 0.2510
Se2 0.0002 0.5001 0.2510
```

Summary:
**Total energy**: -6.08 eV/atom
**Total magnetic moment**: 0.00 μB per atom
**Energy relative to the elements, uncorrected**: -1.793 eV per atom

This record from Alexandria via LeMat-Bulk describes an optimized crystal structure of Pm4NdTh3Se8. The functional is PBE-GGA.

Geometry as CIF:
```
data_Pm4NdTh3Se8
_space_group_name_H-M_alt 'R -3 m'
_space_group_IT_number 166
_space_group_name_Hall '-R 3 2"'
_cell_length_a 8.3398
_cell_length_b 8.3398
_cell_length_c 20.8876
_cell_angle_alpha 90.00
_cell_angle_beta 90.00
_cell_angle_gamma 120.00
loop_
_atom_site_label
_atom_site_fract_x
_atom_site_fract_y
_atom_site_fract_z
Pm1 0.0000 0.0000 0.0000
Pm2 0.0000 0.5000 0.0000
Nd1 0.0000 0.0000 0.5000
Th1 0.0000 0.5000 0.5000
Se1 0.0000 0.0000 0.2514
Se2 0.9999 0.4999 0.2510
```

Summary:
**Total energy**: -6.34 eV/atom
**Total magnetic moment**: 0.00 μB per atom
**Energy relative to the elements, uncorrected**: -1.719 eV per atom

This record from Alexandria via LeMat-Bulk describes an optimized crystal structure of Pm2Nd3ThSe6. The functional is PBE-GGA.

Geometry as CIF:
```
data_Pm2Nd3ThSe6
_space_group_name_H-M_alt 'C 1 2/m 1'
_space_group_IT_number 12
_space_group_name_Hall '-C 2y'
_cell_length_a 18.3348
_cell_length_b 4.2106
_cell_length_c 8.4480
_cell_angle_alpha 90.00
_cell_angle_beta 103.05
_cell_angle_gamma 90.00
loop_
_atom_site_label
_atom_site_fract_x
_atom_site_fract_y
_atom_site_fract_z
Pm1 0.1656 0.0000 0.3309
Nd1 0.0000 0.5000 0.5000
Nd2 0.1659 0.0000 0.8342
Th1 0.0000 0.5000 0.0000
Se1 0.0005 0.0000 0.2506
Se2 0.1671 0.5000 0.0854
Se3 0.1682 0.5000 0.5815
```

Summary:
**Total energy**: -6.12 eV/atom
**Total magnetic moment**: 0.00 μB per atom
**Energy relative to the elements, uncorrected**: -1.780 eV per atom

This record from Alexandria via LeMat-Bulk describes an optimized crystal structure of PmNd2ThSe4. The functional is PBE-GGA.

Geometry as CIF:
```
data_PmNd2ThSe4
_space_group_name_H-M_alt 'P 1 2/m 1'
_space_group_IT_number 10
_space_group_name_Hall '-P 2y'
_cell_length_a 7.2978
_cell_length_b 4.2001
_cell_length_c 7.3210
_cell_angle_alpha 90.00
_cell_angle_beta 109.36
_cell_angle_gamma 90.00
loop_
_atom_site_label
_atom_site_fract_x
_atom_site_fract_y
_atom_site_fract_z
Pm1 0.0000 0.0000 0.0000
Nd1 0.5000 0.0000 0.5000
Nd2 0.5000 0.5000 0.0000
Th1 0.0000 0.5000 0.5000
Se1 0.2475 0.5000 0.2485
Se2 0.2487 0.0000 0.7507
```

Summary:
**Total energy**: -6.21 eV/atom
**Total magnetic moment**: 0.00 μB per atom
**Energy relative to the elements, uncorrected**: -1.756 eV per atom